Here is a geometry-optimized SrSmTcO6 structure from Alexandria. Energies are from PBE.

abc: 5.6465 5.6465 5.1944
angles: 90.00 90.00 120.00
Space group P312 (No. 149)
Inequivalent atoms, fractional coordinates:
Sr  0.0000  0.0000  0.0000 [1 per cell]
Sm  0.3333  0.6667  0.5000 [1 per cell]
Tc  0.6667  0.3333  0.5000 [1 per cell]
O  0.3915  0.0521  0.7090 [6 per cell]

Output
The density is 5.001 g cm⁻³. The calculation puts the formation energy without anion corrections at -2.24 eV/atom.